Computed, not measured: a relaxed NaLaH8Pt2 crystal at the GGA-PBE level of DFT.

Results
energy	-46.49	eV/cell
M_tot	0.00	μB per formula unit

Cell: 4.312 4.312 8.846 Å, 75.89 75.89 60.00°
Atoms (fractional coordinates):
H1 0.536 0.074 0.853
H2 0.536 0.536 0.853
H3 0.180 0.180 0.461
H4 0.464 0.926 0.147
H5 0.820 0.820 0.539
H6 0.926 0.464 0.147
H7 0.074 0.536 0.853
H8 0.464 0.464 0.147
Na1 0.000 0.000 0.000
La1 0.500 0.500 0.500
Pt1 0.248 0.248 0.257
Pt2 0.752 0.752 0.743



Computed, not measured: a relaxed NaLa2H12Rh3 crystal at the GGA-PBE level of DFT.

Results
energy	-79.35	eV/cell
M_tot	0.41	μB per formula unit

Cell: 6.149 6.149 6.149 Å, 63.05 63.05 63.05°
Site moments in Bohr magnetons follow the coordinates.
Atoms (fractional coordinates):
H1 0.584 0.128 0.128  0.00
H2 0.298 0.298 0.869  0.00
H3 0.869 0.298 0.298  0.00
H4 0.702 0.131 0.702  0.00
H5 0.298 0.869 0.298  0.00
H6 0.416 0.872 0.872  0.00
H7 0.872 0.416 0.872  0.00
H8 0.128 0.128 0.584  0.00
H9 0.702 0.702 0.131  0.00
H10 0.872 0.872 0.416  0.00
H11 0.131 0.702 0.702  0.00
H12 0.128 0.584 0.128  0.00
Rh1 0.500 0.000 0.000  0.02
Rh2 0.000 0.000 0.500  0.02
Rh3 0.000 0.500 0.000  0.02
Na1 0.000 0.000 0.000  0.00
La1 0.612 0.612 0.612  0.10
La2 0.388 0.388 0.388  0.10



Computed, not measured: a relaxed NaLaH6Ru crystal at the GGA-PBE level of DFT.

Results
energy	-39.49	eV/cell
M_tot	0.00	μB per formula unit

Cell: 4.944 4.942 4.352 Å, 90.03 89.95 60.01°
Atoms (fractional coordinates):
Ru1 0.333 0.333 0.453
Na1 0.667 0.667 0.675
H1 0.164 0.164 0.674
H2 0.497 0.007 0.227
H3 0.163 0.673 0.674
H4 0.496 0.496 0.227
H5 0.673 0.164 0.674
H6 0.008 0.496 0.227
La1 0.000 0.000 0.168



Computed, not measured: a relaxed NaLa2SbH crystal at the GGA-PBE level of DFT.

Results
relative energy among the computed polymorphs	713	meV per atom
M_tot	0.02	μB per formula unit

Cell: 5.847 3.884 5.847 Å, 90.00 90.00 90.00°
Atoms (fractional coordinates):
Sb1 0.500 0.500 0.500
Na1 0.000 0.000 0.000
La1 0.000 0.000 0.500
La2 0.500 0.000 0.000
H1 0.000 0.500 0.000



Computed, not measured: a relaxed NaLa2SbH crystal at the GGA-PBE level of DFT.

Results
relative energy among the computed polymorphs	0	meV per atom
M_tot	0.00	μB per formula unit

Cell: 5.047 5.047 4.752 Å, 90.00 90.00 90.00°
Atoms (fractional coordinates):
H1 0.000 0.000 0.000
Sb1 0.500 0.500 0.500
La1 0.500 0.000 0.000
La2 0.000 0.500 0.000
Na1 0.000 0.000 0.500



Computed, not measured: a relaxed Na2LaSbH crystal at the GGA-PBE level of DFT.

Results
energy	-17.68	eV/cell
M_tot	0.00	μB per formula unit

Cell: 4.720 4.720 5.168 Å, 90.00 90.00 90.00°
Atoms (fractional coordinates):
H1 0.000 0.000 0.000
La1 0.000 0.000 0.500
Sb1 0.500 0.500 0.500
Na1 0.000 0.500 0.000
Na2 0.500 0.000 0.000



Computed, not measured: a relaxed NaSrLa2H crystal at the GGA-PBE level of DFT.

Results
relative energy among the computed polymorphs	0	meV per atom
M_tot	0.00	μB per formula unit

Cell: 5.106 5.106 6.082 Å, 90.00 90.00 90.00°
Atoms (fractional coordinates):
La1 0.500 0.000 0.000
La2 0.000 0.500 0.000
Na1 0.500 0.500 0.500
H1 0.000 0.000 0.000
Sr1 0.000 0.000 0.500



Computed, not measured: a relaxed NaSr2LaH crystal at the GGA-PBE level of DFT.

Results
energy	-13.05	eV/cell
M_tot	0.00	μB per formula unit

Cell: 6.120 6.120 4.706 Å, 90.00 90.00 90.00°
Atoms (fractional coordinates):
Sr1 0.500 0.000 0.000
Sr2 0.000 0.500 0.000
H1 0.000 0.000 0.000
La1 0.000 0.000 0.500
Na1 0.500 0.500 0.500



Computed, not measured: a relaxed Na2LaTlH crystal at the GGA-PBE level of DFT.

Results
energy	-14.22	eV/cell
M_tot	0.00	μB per formula unit

Cell: 4.862 4.862 5.107 Å, 90.00 90.00 90.00°
Atoms (fractional coordinates):
La1 0.000 0.000 0.500
H1 0.000 0.000 0.000
Na1 0.000 0.500 0.000
Na2 0.500 0.000 0.000
Tl1 0.500 0.500 0.500



Computed, not measured: a relaxed NaLa2TlH crystal at the GGA-PBE level of DFT.

Results
relative energy among the computed polymorphs	149	meV per atom
M_tot	0.00	μB per formula unit

Cell: 5.022 5.022 5.078 Å, 90.00 90.00 90.00°
Atoms (fractional coordinates):
La1 0.500 0.000 0.000
La2 0.000 0.500 0.000
Tl1 0.000 0.000 0.500
H1 0.000 0.000 0.000
Na1 0.500 0.500 0.500



Computed, not measured: a relaxed NaLaTl2H crystal at the GGA-PBE level of DFT.

Results
energy	-15.21	eV/cell
M_tot	0.00	μB per formula unit

Cell: 5.324 5.324 4.429 Å, 90.00 90.00 90.00°
Atoms (fractional coordinates):
H1 0.000 0.000 0.000
Na1 0.500 0.500 0.500
La1 0.000 0.000 0.500
Tl1 0.000 0.500 0.000
Tl2 0.500 0.000 0.000



Computed, not measured: a relaxed NaLa2TlH crystal at the GGA-PBE level of DFT.

Results
relative energy among the computed polymorphs	0	meV per atom
M_tot	0.00	μB per formula unit

Cell: 5.118 5.118 4.788 Å, 90.00 90.00 90.00°
Atoms (fractional coordinates):
La1 0.000 0.500 0.000
La2 0.500 0.000 0.000
H1 0.000 0.000 0.000
Tl1 0.500 0.500 0.500
Na1 0.000 0.000 0.500



Please write out number 2 again, unchanged.
Computed, not measured: a relaxed NaLa2H12Rh3 crystal at the GGA-PBE level of DFT.

Results
energy	-79.35	eV/cell
M_tot	0.41	μB per formula unit

Cell: 6.149 6.149 6.149 Å, 63.05 63.05 63.05°
Site moments in Bohr magnetons follow the coordinates.
Atoms (fractional coordinates):
H1 0.584 0.128 0.128  0.00
H2 0.298 0.298 0.869  0.00
H3 0.869 0.298 0.298  0.00
H4 0.702 0.131 0.702  0.00
H5 0.298 0.869 0.298  0.00
H6 0.416 0.872 0.872  0.00
H7 0.872 0.416 0.872  0.00
H8 0.128 0.128 0.584  0.00
H9 0.702 0.702 0.131  0.00
H10 0.872 0.872 0.416  0.00
H11 0.131 0.702 0.702  0.00
H12 0.128 0.584 0.128  0.00
Rh1 0.500 0.000 0.000  0.02
Rh2 0.000 0.000 0.500  0.02
Rh3 0.000 0.500 0.000  0.02
Na1 0.000 0.000 0.000  0.00
La1 0.612 0.612 0.612  0.10
La2 0.388 0.388 0.388  0.10



Q: Look up the M_tot of the ninth one.
A: 0.00 μB per formula unit